[1]
The following is a DFT calculation (GGA-PBE) of crystalline La2BiPb2 at its relaxed geometry.

Output
The calculation puts the magnetization at 0.000 Bohr magnetons per cell. For the energy relative to the lowest polymorph listed for this composition, the calculation gives 0.0000 eV/atom.

Cell lengths 8.4281, 8.4281, 4.6778 Å; angles 90.00, 90.00, 90.00 degrees
With the nearest neighbours (Å) after each atom.
Element x y z (fractional)
La  0.1743  0.3257  0.0000  6 Pb 3.31-3.49
La  0.3257  0.8257  0.0000  6 Pb 3.31-3.49
La  0.6743  0.1743  0.0000  6 Pb 3.31-3.49
La  0.8257  0.6743  0.0000  6 Pb 3.31-3.49
Bi  0.0000  0.0000  0.5000  4 Pb 3.31
Bi  0.5000  0.5000  0.5000  4 Pb 3.31
Pb  0.1296  0.6296  0.5000  1 Pb 3.09, 2 La 3.31, 2 Bi 3.31
Pb  0.3704  0.1296  0.5000  1 Pb 3.09, 2 La 3.31, 2 Bi 3.31
Pb  0.6296  0.8704  0.5000  1 Pb 3.09, 2 La 3.31, 2 Bi 3.31
Pb  0.8704  0.3704  0.5000  1 Pb 3.09, 2 La 3.31, 2 Bi 3.31

[2]
The following is a DFT calculation (GGA-PBE) of crystalline Tm2Sb2H at its relaxed geometry.

Output
The calculation puts the magnetization at 0.000 Bohr magnetons per cell.

Cell lengths 9.3984, 9.3984, 6.0676 Å; angles 90.00, 90.00, 154.09 degrees
With the nearest neighbours (Å) after each atom.
Element x y z (fractional)
Tm  0.0929  0.9071  0.5000  1 H 2.15
Tm  0.3352  0.6648  0.5597  2 H 2.31
Tm  0.6648  0.3352  0.0597  2 H 2.31
Tm  0.9071  0.0929  0.0000  1 H 2.15
Sb  0.2896  0.7104  0.0564  6 Tm 3.03-3.17, 1 H 3.07
Sb  0.4937  0.5063  0.2805  2 Sb 3.04, 5 Tm 3.08-3.36, 2 H 3.29
Sb  0.5063  0.4937  0.7805  2 Sb 3.04, 5 Tm 3.08-3.36, 2 H 3.29
Sb  0.7104  0.2896  0.5564  6 Tm 3.03-3.17, 1 H 3.07
H  0.1257  0.8743  0.1595  3 Tm 2.15-2.31
H  0.8743  0.1257  0.6595  3 Tm 2.15-2.31

[3]
The following is a DFT calculation (GGA-PBE) of crystalline NaCaCd4 at its relaxed geometry.

Output
The calculation puts the magnetization at 0.000 Bohr magnetons per cell. For the energy relative to the lowest polymorph listed for this composition, the calculation gives 0.0000 eV/atom.

Cell lengths 9.4348, 9.4348, 5.0490 Å; angles 90.00, 90.00, 136.61 degrees
With the nearest neighbours (Å) after each atom.
Element x y z (fractional)
Na  0.1276  0.8724  0.7500  12 Cd 3.36-3.41, 2 Ca 3.49
Na  0.8724  0.1276  0.2500  12 Cd 3.36-3.41, 2 Ca 3.49
Ca  0.3783  0.6217  0.2500  12 Cd 3.39-3.45, 2 Na 3.49
Ca  0.6217  0.3783  0.7500  12 Cd 3.39-3.45, 2 Na 3.49
Cd  0.0425  0.4594  0.7500  3 Cd 2.92
Cd  0.1982  0.2817  0.7500  3 Cd 2.92
Cd  0.2817  0.1982  0.2500  3 Cd 2.92
Cd  0.4594  0.0425  0.2500  3 Cd 2.92
Cd  0.5406  0.9575  0.7500  3 Cd 2.92
Cd  0.7183  0.8018  0.7500  3 Cd 2.92
Cd  0.8018  0.7183  0.2500  3 Cd 2.92
Cd  0.9575  0.5406  0.2500  3 Cd 2.92

[4]
The following is a DFT calculation (GGA-PBE) of crystalline RbCuH3 at its relaxed geometry.

Output
The calculation puts the magnetization at 0.000 Bohr magnetons per cell. For the energy relative to the lowest polymorph listed for this composition, the calculation gives 0.0000 eV/atom.

Cell lengths 7.4954, 4.5184, 10.3332 Å; angles 90.00, 108.96, 90.00 degrees
With the nearest neighbours (Å) after each atom.
Element x y z (fractional)
Rb  0.2091  0.1894  0.1670  4 H 2.73-2.88
Rb  0.2091  0.3106  0.6670  4 H 2.73-2.88
Rb  0.7909  0.6894  0.3330  4 H 2.73-2.88
Rb  0.7909  0.8106  0.8330  4 H 2.73-2.88
Cu  0.4157  0.7452  0.9893  4 H 1.60-1.64
Cu  0.4157  0.7548  0.4893  4 H 1.60-1.64
Cu  0.5843  0.2452  0.5107  4 H 1.60-1.64
Cu  0.5843  0.2548  0.0107  4 H 1.60-1.64
H  0.1909  0.7051  0.9328  1 Cu 1.60
H  0.1909  0.7949  0.4328  1 Cu 1.60
H  0.3874  0.0777  0.9315  2 Cu 1.61-1.64
H  0.3874  0.4223  0.4315  2 Cu 1.61-1.64
H  0.4887  0.0021  0.6118  2 Cu 1.64-1.82
H  0.4887  0.4979  0.1118  2 Cu 1.64-1.82
H  0.5113  0.5021  0.8882  2 Cu 1.64-1.82
H  0.5113  0.9979  0.3882  2 Cu 1.64-1.82
H  0.6126  0.5777  0.5685  2 Cu 1.61-1.64
H  0.6126  0.9223  0.0685  2 Cu 1.61-1.64
H  0.8091  0.2051  0.5672  1 Cu 1.60
H  0.8091  0.2949  0.0672  1 Cu 1.60

[5]
The following is a DFT calculation (GGA-PBE) of crystalline Pr2ThAu at its relaxed geometry.

Output
The calculation puts the magnetization at 0.000 Bohr magnetons per cell. For the energy relative to the lowest polymorph listed for this composition, the calculation gives 0.0000 eV/atom.

Cell lengths 3.7307, 3.7307, 8.5584 Å; angles 90.00, 90.00, 90.00 degrees
With the nearest neighbours (Å) after each atom.
Element x y z (fractional)
Pr  0.0000  0.0000  0.2179  4 Au 3.23, 4 Th 3.58
Pr  0.0000  0.0000  0.7821  4 Au 3.23, 4 Th 3.58
Th  0.5000  0.5000  0.5000  8 Pr 3.58, 4 Th 3.73
Au  0.5000  0.5000  0.0000  8 Pr 3.23

Per-record E, eV per atom: -4.81; -4.86; -1.38; -3.08; -5.42